Arrangement 1

An optimized crystal structure of B3SbTe, computed with GGA-PBE.

```
B3SbTe
1.0
4.477 0.000 0.000
0.000 4.477 0.000
0.000 0.000 4.477
Te Sb B
1 1 3
Direct
0.000 0.000 0.000
0.500 0.500 0.500
0.000 0.000 0.500
0.000 0.500 0.000
0.500 0.000 0.000
```

Calculated values
N(E_F): 2.13 states/eV per cell
Space group: Pm-3m

Arrangement 2

An optimized crystal structure of B3SbTe, computed with GGA-PBE.

```
B3SbTe
1.0
4.558 0.000 0.000
0.000 4.558 0.000
0.000 0.000 4.558
Sb B Te
1 3 1
Direct
0.000 0.000 0.000
0.000 0.000 0.500
0.000 0.500 0.000
0.500 0.000 0.000
0.500 0.500 0.500
```

Calculated values
N(E_F): 2.09 states/eV per cell
Space group: Pm-3m

Which structure loses on stability? arrangement 1 does.